Density functional theory data (PBE with a Hubbard U) for a relaxed structure of YCrN2O.

Geometry as extended XYZ:
```
5
Lattice="-1.1215 3.5115 0.7529 -3.4049 -0.7889 -1.3928 -1.1996 -1.1518 3.5849" Properties=species:S:1:pos:R:3 pbc="T T T"
O -0.5998 -0.5759 1.7925
Cr 0.0000 0.0000 0.0000
Y -2.8630 0.7854 1.4725
N -0.5608 1.7558 0.3765
N -1.7025 -0.3944 -0.6964
```

For the density of states at the Fermi level, the calculation gives 2.0 states/eV/f.u. Its symmetry is No. 123. Its density is 5.5 g cm⁻³. As for the electronic total energy: -7.991 eV per atom. The value obtained for the total moment is 0.238 μB per atom.